Entry from Alexandria via LeMat-Bulk: crystalline K2MnRhCl at its relaxed geometry (PBE-GGA).

- V (Å³/cell) = 158.0
- total magnetization (μB per formula unit) = 5.5

abc: 5.730 5.730 4.812
angles: 90.00 90.00 90.00
Atoms (fractional coordinates):
K (0.000, 0.500, 0.000)
K (0.500, 0.000, 0.000)
Mn (0.000, 0.000, 0.500)
Rh (0.500, 0.500, 0.500)
Cl (0.000, 0.000, 0.000)



Entry from Alexandria via LeMat-Bulk: crystalline Tb12PrSc6 at its relaxed geometry (PBE-GGA).

- formation energy from the elements (eV/atom) = 0.24
- V (Å³/cell) = 574.9
- total magnetization (μB per formula unit) = 0.0

abc: 9.073 9.073 9.073
angles: 109.47 109.47 109.47
Atoms (fractional coordinates):
Tb (0.070, 0.268, 0.802)
Tb (0.198, 0.466, 0.268)
Tb (0.198, 0.930, 0.732)
Tb (0.268, 0.198, 0.466)
Tb (0.268, 0.802, 0.070)
Tb (0.466, 0.268, 0.198)
Tb (0.534, 0.732, 0.802)
Tb (0.732, 0.198, 0.930)
Tb (0.732, 0.802, 0.534)
Tb (0.802, 0.070, 0.268)
Tb (0.802, 0.534, 0.732)
Tb (0.930, 0.732, 0.198)
Pr (0.000, 0.000, 0.000)
Sc (0.137, 0.500, 0.637)
Sc (0.363, 0.863, 0.500)
Sc (0.500, 0.363, 0.863)
Sc (0.500, 0.637, 0.137)
Sc (0.637, 0.137, 0.500)
Sc (0.863, 0.500, 0.363)



Entry from Alexandria via LeMat-Bulk: crystalline Er2Sc3Pd4 at its relaxed geometry (PBE-GGA).

- formation energy from the elements (eV/atom) = -0.82
- V (Å³/cell) = 375.5
- total magnetization (μB per formula unit) = 0.0

abc: 7.262 7.310 7.524
angles: 90.00 109.92 90.00
Atoms (fractional coordinates):
Er (0.193, 0.174, 0.073)
Er (0.193, 0.326, 0.573)
Er (0.807, 0.674, 0.427)
Er (0.807, 0.826, 0.927)
Sc (0.247, 0.661, 0.249)
Sc (0.247, 0.839, 0.749)
Sc (0.500, 0.000, 0.500)
Sc (0.500, 0.500, 0.000)
Sc (0.753, 0.161, 0.251)
Sc (0.753, 0.339, 0.751)
Pd (0.086, 0.544, 0.857)
Pd (0.086, 0.956, 0.357)
Pd (0.498, 0.636, 0.630)
Pd (0.498, 0.864, 0.130)
Pd (0.502, 0.136, 0.870)
Pd (0.502, 0.364, 0.370)
Pd (0.914, 0.044, 0.643)
Pd (0.914, 0.456, 0.143)



| no. | energy above the most stable polymorph in this dataset (eV/atom) | E (eV per atom) |
| --- | --- | --- |
| 1 | 0.1251 | -3.651 |
| 2 | 0.0000 | -4.932 |
| 3 | 0.0000 | -6.257 |